## 1
Y2Tm3Al3 | PBE-GGA | relaxed

a = 3.655 Å, b = 5.098 Å, c = 21.363 Å
α = 90.00°, β = 90.00°, γ = 90.00°
Space group Immm (No. 71)
Unique sites:
Y: 0.000 0.000 0.230
Tm: 0.000 0.000 0.000
Tm: 0.000 0.500 0.119
Al: 0.000 0.000 0.500
Al: 0.000 0.500 0.385

Properties
ρ ... 6.4 Mg/m³
DOS(E_F) ... 10.6 states/eV per cell

***

## 2
Y2Tm3Al3 | PBE-GGA | relaxed

a = 4.749 Å, b = 4.761 Å, c = 8.767 Å
α = 90.00°, β = 90.00°, γ = 90.00°
Space group Pmmm (No. 47)
Unique sites:
Y: 0.000 0.000 0.229
Tm: 0.000 0.500 0.500
Tm: 0.500 0.500 0.226
Al: 0.000 0.500 0.000
Al: 0.500 0.000 0.000
Al: 0.500 0.000 0.500

Properties
ρ ... 6.4 Mg/m³
DOS(E_F) ... 8.2 states/eV per cell

***

Stability verdict: 1, ahead by 14 meV/atom

***

## 1
Y4TmAl2 | PBE-GGA | relaxed

a = 5.0310 Å, b = 5.0310 Å, c = 30.0179 Å
α = 90.00°, β = 90.00°, γ = 120.00°
Space group R-3m (No. 166, hexagonal axes)
Unique sites:
Y: 0.0000 0.0000 0.1041
Y: 0.0000 0.0000 0.2974
Tm: 0.0000 0.0000 0.5000
Al: 0.0000 0.0000 0.4008

Properties
ρ ... 4.4 Mg/m³
DOS(E_F) ... 29.5 states/eV per cell

***

## 2
Y4TmAl2 | PBE-GGA | relaxed

a = 5.2267 Å, b = 5.2267 Å, c = 24.2821 Å
α = 90.00°, β = 90.00°, γ = 120.00°
Space group R-3m (No. 166, hexagonal axes)
Unique sites:
Y: 0.0000 0.0000 0.0993
Y: 0.0000 0.0000 0.3623
Tm: 0.0000 0.0000 0.5000
Al: 0.0000 0.0000 0.2326

Properties
ρ ... 5.0 Mg/m³
DOS(E_F) ... 25.3 states/eV per cell

***

Stability verdict: 2, ahead by 272 meV/atom

***

## 1
Tm4AlZn2 | PBE-GGA | relaxed

a = 4.9411 Å, b = 4.9411 Å, c = 23.9701 Å
α = 90.00°, β = 90.00°, γ = 120.00°
Space group R-3m (No. 166, hexagonal axes)
Unique sites:
Tm: 0.0000 0.0000 0.1186
Tm: 0.0000 0.0000 0.3715
Al: 0.0000 0.0000 0.5000
Zn: 0.0000 0.0000 0.2458

Properties
ρ ... 8.2 Mg/m³
DOS(E_F) ... 20.8 states/eV per cell

***

## 2
Tm4AlZn2 | PBE-GGA | relaxed

a = 8.881 Å, b = 8.881 Å, c = 8.711 Å
α = 90.00°, β = 90.00°, γ = 90.00°
Space group I-42d (No. 122)
Unique sites:
Tm: 0.071 0.675 0.446
Al: 0.000 0.000 0.500
Zn: 0.126 0.750 0.125

Properties
ρ ... 8.1 Mg/m³
DOS(E_F) ... 36.5 states/eV per cell

***

Stability verdict: 1, ahead by 56 meV/atom